The following is a PBE calculation of a relaxed Sr2ZnCd crystal, from the Alexandria database.

```
4
Lattice="-2.482 -3.085 0.022 2.976 -2.387 1.056 -1.760 1.476 8.296" Properties=species:S:1:pos:R:3 pbc="T T T"
Cd -0.993 -1.696 6.385
Sr -1.643 1.378 7.746
Sr -0.319 -2.261 3.209
Zn -0.949 0.796 4.476
```

Summary:
Its crystal system is tetragonal. The calculation puts the energy at -1.525 eV/atom.

The following is a PBE calculation of a relaxed Sr2ZnCd3 crystal, from the Alexandria database.

```
12
Lattice="6.381 0.866 0.000 0.471 6.422 0.000 -3.426 -3.644 8.598" Properties=species:S:1:pos:R:3 pbc="T T T"
Sr 3.190 0.433 4.299
Sr 4.908 2.251 0.000
Sr 0.236 3.211 4.299
Sr 1.944 5.038 0.000
Zn 3.426 3.644 2.856
Zn 0.000 0.000 5.742
Cd 5.097 5.422 1.470
Cd 1.671 1.778 7.129
Cd -1.671 -1.778 7.129
Cd 1.755 1.866 1.470
Cd 0.000 0.000 2.939
Cd 3.426 3.644 5.660
```

Summary:
Its crystal system is orthorhombic. The calculation puts the energy at -1.532 eV/atom.

The following is a PBE calculation of a relaxed Sr2Zn2Cd crystal, from the Alexandria database.

```
5
Lattice="4.328 0.000 1.844 1.209 5.283 3.165 -0.113 0.286 6.269" Properties=species:S:1:pos:R:3 pbc="T T T"
Sr 3.957 4.323 5.718
Sr 1.467 1.247 5.560
Zn 0.251 1.304 2.412
Zn 5.173 4.265 8.865
Cd 2.769 2.641 2.504
```

Summary:
Its crystal system is orthorhombic. As for the energy above the most stable polymorph in this dataset: 0.00 eV/f.u.

The following is a PBE calculation of a relaxed SrZn2Cd2 crystal, from the Alexandria database.

```
5
Lattice="4.617 0.000 0.000 0.000 4.617 0.000 2.309 2.309 5.763" Properties=species:S:1:pos:R:3 pbc="T T T"
Sr 0.000 0.000 0.000
Zn 4.617 2.309 2.882
Zn 2.309 4.617 2.882
Cd 2.309 2.309 1.416
Cd 4.617 4.617 4.347
```

Summary:
Its crystal system is tetragonal. As for the energy above the most stable polymorph in this dataset: 0.30 eV/f.u.

The following is a PBE calculation of a relaxed Sr2Zn5Cd crystal, from the Alexandria database.

```
16
Lattice="-1.065 -1.881 -4.074 -1.531 -6.416 5.972 -8.858 2.986 0.937" Properties=species:S:1:pos:R:3 pbc="T T T"
Sr -8.396 -3.052 0.994
Sr -3.057 -2.259 1.842
Sr 0.000 0.000 0.000
Sr -4.429 1.493 0.469
Zn -8.633 -0.058 2.284
Zn -2.820 -5.253 0.552
Zn -6.174 -0.887 2.024
Zn -5.279 -4.424 0.812
Zn -10.169 -2.095 3.625
Zn -1.285 -3.216 -0.789
Zn -5.948 -3.517 3.179
Zn -5.505 -1.794 -0.343
Zn -7.600 -0.216 -0.524
Zn -3.853 -5.095 3.359
Cd -8.466 -4.261 4.180
Cd -2.987 -1.050 -1.344
```

Summary:
Its crystal system is orthorhombic. The calculation puts the energy at -1.558 eV/atom.

The following is a PBE calculation of a relaxed SrZnCd3 crystal, from the Alexandria database.

```
5
Lattice="5.174 0.000 0.000 0.000 5.174 0.000 0.000 0.000 5.174" Properties=species:S:1:pos:R:3 pbc="T T T"
Sr 2.587 2.587 2.587
Zn 0.000 0.000 0.000
Cd 0.000 2.587 0.000
Cd 0.000 0.000 2.587
Cd 2.587 0.000 0.000
```

Summary:
Its crystal system is cubic. As for the energy above the most stable polymorph in this dataset: 0.89 eV/f.u.

The following is a PBE calculation of a relaxed SrZn10Cd crystal, from the Alexandria database.

```
12
Lattice="-4.028 0.131 -1.666 0.659 -4.867 -1.977 -3.430 -3.714 8.003" Properties=species:S:1:pos:R:3 pbc="T T T"
Sr -1.386 -4.291 3.013
Zn -1.038 -1.124 2.421
Zn -2.575 -5.578 5.787
Zn -0.196 -3.003 0.239
Zn -2.393 -2.591 5.581
Zn -3.729 -1.792 3.168
Zn -1.684 -2.368 -1.821
Zn -2.720 -2.128 0.703
Zn -4.078 -6.323 3.657
Zn -2.399 -4.504 -0.262
Zn -4.400 -3.947 4.622
Cd 0.000 0.000 0.000
```

Summary:
Its crystal system is orthorhombic. The calculation puts the energy at -1.339 eV/atom.

The following is a PBE calculation of a relaxed Sr3Zn4Cd2 crystal, from the Alexandria database.

```
9
Lattice="4.717 0.000 0.000 -2.359 5.656 -1.669 0.000 -0.264 9.271" Properties=species:S:1:pos:R:3 pbc="T T T"
Sr 2.359 1.669 5.688
Sr 0.000 0.000 0.000
Sr 0.000 3.723 1.914
Zn 2.359 2.545 -0.288
Zn 0.000 2.848 7.889
Zn 2.359 4.854 4.096
Zn 0.000 0.538 3.505
Cd 2.359 1.251 2.221
Cd 0.000 4.141 5.381
```

Summary:
Its crystal system is monoclinic. The calculation puts the energy at -1.589 eV/atom.

The following is a PBE calculation of a relaxed Sr4ZnCd crystal, from the Alexandria database.

```
6
Lattice="0.000 5.198 5.198 5.198 0.000 5.198 5.198 5.198 0.000" Properties=species:S:1:pos:R:3 pbc="T T T"
Sr 3.898 6.499 6.499
Sr 6.499 6.499 3.898
Sr 6.499 3.898 6.499
Sr 3.898 3.898 3.898
Zn 7.797 7.797 7.797
Cd 0.000 0.000 0.000
```

Summary:
Its crystal system is cubic. As for the energy above the most stable polymorph in this dataset: 3.80 eV/f.u.

The following is a PBE calculation of a relaxed Sr2ZnCd crystal, from the Alexandria database.

```
8
Lattice="-2.273 -1.814 -8.314 -0.077 -8.601 1.897 -4.898 -4.961 -2.244" Properties=species:S:1:pos:R:3 pbc="T T T"
Sr -2.615 -3.417 -5.374
Sr -1.597 -6.874 -0.561
Sr -4.556 -7.778 -4.056
Sr -5.728 -12.683 -7.331
Zn -1.175 -5.207 -3.208
Zn -3.075 -9.385 -1.777
Cd 0.000 0.000 0.000
Cd -4.173 -5.991 -6.883
```

Summary:
Its crystal system is tetragonal. The calculation puts the energy at -1.366 eV/atom.

The following is a PBE calculation of a relaxed Sr3Zn3Cd crystal, from the Alexandria database.

```
14
Lattice="4.791 0.000 0.722 2.370 5.871 0.533 0.207 -0.054 14.888" Properties=species:S:1:pos:R:3 pbc="T T T"
Sr 3.434 1.785 9.731
Sr 3.934 4.032 6.412
Sr 1.882 1.606 3.767
Sr 5.486 4.211 12.375
Sr 2.761 1.663 14.199
Sr 4.607 4.154 1.944
Zn 5.988 4.090 9.043
Zn 1.380 1.727 7.100
Zn 2.749 5.173 14.275
Zn 4.619 0.643 1.868
Zn 6.661 5.078 4.573
Zn 0.707 0.739 11.570
Cd 3.912 0.549 6.558
Cd 3.456 5.268 9.585
```

Summary:
Its crystal system is monoclinic. The calculation puts the energy at -1.627 eV/atom.

The following is a PBE calculation of a relaxed SrZn2Cd4 crystal, from the Alexandria database.

```
7
Lattice="-1.400 2.994 -3.170 0.899 -3.041 -3.269 -7.719 -1.259 2.220" Properties=species:S:1:pos:R:3 pbc="T T T"
Sr 0.000 0.000 0.000
Zn -1.409 -0.466 -3.126
Zn -6.811 -0.839 -1.093
Cd -4.897 -1.800 -2.845
Cd -2.191 -2.530 -1.422
Cd -3.322 0.494 -1.374
Cd -4.629 -1.770 0.373
```

Summary:
Its crystal system is orthorhombic. The calculation puts the energy at -1.319 eV/atom.